No. 1
{"formula": "TlPt3C", "functional": "GGA-PBE", "state": "relaxed", "cell": [[5.0741, 0.0000, 0.0000], [0.0000, 5.0741, 0.0000], [0.0000, 0.0000, 5.0741]], "species": ["Pt", "Pt", "Pt", "C", "Tl"], "fractional_positions": [[0.0000, 0.5000, 0.0000], [0.5000, 0.0000, 0.0000], [0.0000, 0.0000, 0.5000], [0.5000, 0.5000, 0.5000], [0.0000, 0.0000, 0.0000]], "total_magnetization_mub_per_cell": 1.07, "vol_a3_per_cell": 131, "e_tot_ev_per_atom": -3.192, "polymorph_energy_mev_per_atom": 2303.8, "formation_energy_ev_per_atom": 2.7504}



No. 2
{"formula": "Ho3Ga8Rh4", "functional": "GGA-PBE", "state": "relaxed", "cell": [[7.8036, 0.0000, 4.5054], [2.6012, 7.3573, 4.5054], [0.0000, 0.0000, 9.0108]], "species": ["Ga", "Ga", "Ga", "Ga", "Ga", "Ga", "Ga", "Ga", "Ga", "Ga", "Ga", "Ga", "Ga", "Ga", "Ga", "Ga", "Rh", "Rh", "Rh", "Rh", "Rh", "Rh", "Rh", "Rh", "Ho", "Ho", "Ho", "Ho", "Ho", "Ho"], "fractional_positions": [[0.3353, 0.3353, 0.9941], [0.1231, 0.6307, 0.1231], [0.8769, 0.8769, 0.8769], [0.3353, 0.9941, 0.3353], [0.6647, 0.0059, 0.6647], [0.0059, 0.6647, 0.6647], [0.3693, 0.8769, 0.8769], [0.6647, 0.6647, 0.0059], [0.6307, 0.1231, 0.1231], [0.6647, 0.6647, 0.6647], [0.1231, 0.1231, 0.1231], [0.3353, 0.3353, 0.3353], [0.1231, 0.1231, 0.6307], [0.8769, 0.3693, 0.8769], [0.8769, 0.8769, 0.3693], [0.9941, 0.3353, 0.3353], [0.5000, 0.0000, 0.0000], [0.0000, 0.0000, 0.5000], [0.0000, 0.5000, 0.0000], [0.5000, 0.5000, 0.5000], [0.0000, 0.5000, 0.5000], [0.5000, 0.5000, 0.0000], [0.0000, 0.0000, 0.0000], [0.5000, 0.0000, 0.5000], [0.7153, 0.2847, 0.7153], [0.7153, 0.2847, 0.2847], [0.2847, 0.7153, 0.2847], [0.2847, 0.7153, 0.7153], [0.2847, 0.2847, 0.7153], [0.7153, 0.7153, 0.2847]], "total_magnetization_mub_per_cell": 0.00, "vol_a3_per_cell": 517, "e_tot_ev_per_atom": -5.213, "formation_energy_ev_per_atom": -0.7224}



No. 3
{"formula": "Na2Bi2Br7", "functional": "GGA-PBE", "state": "relaxed", "cell": [[7.0191, 0.0987, 0.2452], [0.2358, 7.3014, 3.0314], [0.1808, -0.7945, 7.8671]], "species": ["Br", "Br", "Br", "Br", "Br", "Br", "Br", "Bi", "Bi", "Na", "Na"], "fractional_positions": [[0.2420, 0.4230, 0.4230], [0.0000, 0.0000, 0.0000], [0.7548, 0.5295, 0.0831], [0.2452, 0.4705, 0.9169], [0.7580, 0.5770, 0.5770], [0.2452, 0.9169, 0.4705], [0.7548, 0.0831, 0.5295], [0.9212, 0.7717, 0.7717], [0.0788, 0.2283, 0.2283], [0.5000, 0.7112, 0.2888], [0.5000, 0.2888, 0.7112]], "total_magnetization_mub_per_cell": 0.00, "vol_a3_per_cell": 420, "e_tot_ev_per_atom": -2.886}



No. 4
{"formula": "LiTb2Pr3Te6", "functional": "GGA-PBE", "state": "relaxed", "cell": [[-4.4189, 0.3105, -0.0791], [-0.6433, -8.6231, 2.0870], [2.3677, 4.2887, 8.6477]], "species": ["Tb", "Tb", "Te", "Te", "Te", "Te", "Te", "Te", "Pr", "Pr", "Pr", "Li"], "fractional_positions": [[0.1663, 0.3363, 0.3327], [0.8337, 0.6637, 0.6673], [0.6690, 0.5772, 0.3380], [0.3398, 0.9120, 0.6797], [0.6602, 0.0880, 0.3203], [0.3310, 0.4228, 0.6620], [0.9974, 0.7649, 0.9947], [0.0026, 0.2351, 0.0053], [0.8329, 0.1692, 0.6659], [0.1671, 0.8308, 0.3341], [0.5000, 0.5000, 0.0000], [0.5000, 0.0000, 0.0000]], "total_magnetization_mub_per_cell": 0.00, "vol_a3_per_cell": 371, "e_tot_ev_per_atom": -5.071}